A relaxed Rb2CdTcI crystal. Source: Alexandria via LeMat-Bulk, functional PBE.

Results
Energy relative to the elements, uncorrected = 0.788 eV/atom
Total energy = -2.17 eV/atom

a b c (Å): 6.9171 6.9171 6.9411
angles (deg): 90.00 90.00 90.00
Last column: nearest neighbours and their distance in Å.
Space group P4/mmm (No. 123)
Unique sites:
Rb (0.0000, 0.5000, 0.0000) x2  2 I 3.46
Cd (0.0000, 0.0000, 0.5000) x1  2 I 3.47
Tc (0.5000, 0.5000, 0.5000) x1  4 Cd 4.89, 8 Rb 4.90
I (0.0000, 0.0000, 0.0000) x1  4 Rb 3.46, 2 Cd 3.47

---

A relaxed NaVS3 crystal. Source: Alexandria via LeMat-Bulk, functional PBE.

Results
Energy relative to the elements, uncorrected = -0.760 eV/atom
Total energy = -5.32 eV/atom

a b c (Å): 13.5919 10.6363 6.1574
angles (deg): 90.00 92.25 90.00
Last column: nearest neighbours and their distance in Å.
Space group C2/c (No. 15)
Unique sites:
Na (0.0000, 0.1093, 0.2500) x4  6 S 2.79-2.93
Na (0.0000, 0.3127, 0.7500) x4  4 S 2.82
V (0.2370, 0.0785, 0.9385) x8  6 S 2.30-2.42
S (0.1406, 0.0698, 0.6166) x8  2 V 2.33-2.35
S (0.1490, 0.2473, 0.0618) x8  2 V 2.30-2.42
S (0.1503, 0.4950, 0.7965) x8  2 V 2.32-2.33